# HoSb3Rh5 (PBE, relaxed)
data_HoSb3Rh5
_cell_length_a 3.974
_cell_length_b 13.914
_cell_length_c 13.203
_cell_angle_alpha 90.00
_cell_angle_beta 90.00
_cell_angle_gamma 90.00
_symmetry_space_group_name_H-M 'C m c m'
_symmetry_Int_Tables_number 63
_symmetry_space_group_name_Hall '-C 2c 2'
loop_
_atom_site_label
_atom_site_fract_x
_atom_site_fract_y
_atom_site_fract_z
_atom_site_occupancy
Ho1 0.000 0.084 0.250 1
Sb1 0.000 0.136 0.750 1
Sb2 0.000 0.379 0.543 1
Rh1 0.000 0.000 0.000 1
Rh2 0.000 0.196 0.565 1
Rh3 0.000 0.456 0.146 1
# E_form (uncorrected) (eV per formula unit): -4.393
# D(E_F) (states/eV per atom): 0.46
# Uncorrected energy (eV/atom): -6.45

# Ho2SbRh (PBE, relaxed)
data_Ho2SbRh
_cell_length_a 3.525
_cell_length_b 3.525
_cell_length_c 7.502
_cell_angle_alpha 90.00
_cell_angle_beta 90.00
_cell_angle_gamma 90.00
_symmetry_space_group_name_H-M 'P 4/m m m'
_symmetry_Int_Tables_number 123
_symmetry_space_group_name_Hall '-P 4 2'
loop_
_atom_site_label
_atom_site_fract_x
_atom_site_fract_y
_atom_site_fract_z
_atom_site_occupancy
Ho1 0.000 0.000 0.220 1
Sb1 0.500 0.500 0.500 1
Rh1 0.500 0.500 0.000 1
# E_form (uncorrected) (eV per formula unit): -3.296
# D(E_F) (states/eV per atom): 0.10
# Uncorrected energy (eV/atom): -5.98

# Ho2SbRh2 (PBE, relaxed)
data_Ho2SbRh2
_cell_length_a 4.420
_cell_length_b 5.810
_cell_length_c 8.240
_cell_angle_alpha 90.00
_cell_angle_beta 90.00
_cell_angle_gamma 90.00
_symmetry_space_group_name_H-M 'I m m m'
_symmetry_Int_Tables_number 71
_symmetry_space_group_name_Hall '-I 2 2'
loop_
_atom_site_label
_atom_site_fract_x
_atom_site_fract_y
_atom_site_fract_z
_atom_site_occupancy
Ho1 0.000 0.000 0.203 1
Sb1 0.000 0.500 0.000 1
Rh1 0.000 0.270 0.500 1
# E_form (uncorrected) (eV per formula unit): -4.593
# D(E_F) (states/eV per atom): 0.46
# Uncorrected energy (eV/atom): -6.51

# Ho7Sb2Rh2 (PBE, relaxed)
data_Ho7Sb2Rh2
_cell_length_a 8.619
_cell_length_b 10.486
_cell_length_c 7.053
_cell_angle_alpha 90.00
_cell_angle_beta 90.00
_cell_angle_gamma 90.00
_symmetry_space_group_name_H-M 'C m m m'
_symmetry_Int_Tables_number 65
_symmetry_space_group_name_Hall '-C 2 2'
loop_
_atom_site_label
_atom_site_fract_x
_atom_site_fract_y
_atom_site_fract_z
_atom_site_occupancy
Ho1 0.000 0.000 0.000 1
Ho2 0.000 0.500 0.235 1
Ho3 0.250 0.250 0.245 1
Sb1 0.207 0.000 0.500 1
Rh1 0.000 0.278 0.000 1
# E_form (uncorrected) (eV per formula unit): -6.505
# D(E_F) (states/eV per atom): 0.77
# Uncorrected energy (eV/atom): -5.59

# HoSbRh2 (PBE, relaxed)
data_HoSbRh2
_cell_length_a 4.5671
_cell_length_b 4.5671
_cell_length_c 12.5260
_cell_angle_alpha 90.00
_cell_angle_beta 90.00
_cell_angle_gamma 120.00
_symmetry_space_group_name_H-M 'R -3 m'
_symmetry_Int_Tables_number 166
_symmetry_space_group_name_Hall '-R 3 2"'
loop_
_atom_site_label
_atom_site_fract_x
_atom_site_fract_y
_atom_site_fract_z
_atom_site_occupancy
Ho1 0.0000 0.0000 0.0000 1
Sb1 0.0000 0.0000 0.5000 1
Rh1 0.0000 0.0000 0.2273 1
# E_form (uncorrected) (eV per formula unit): -3.012
# D(E_F) (states/eV per atom): 0.79
# Uncorrected energy (eV/atom): -6.60

# Ho2SbRh (PBE, relaxed)
data_Ho2SbRh
_cell_length_a 6.071
_cell_length_b 4.291
_cell_length_c 8.024
_cell_angle_alpha 90.00
_cell_angle_beta 111.53
_cell_angle_gamma 90.00
_symmetry_space_group_name_H-M 'P 1 21/m 1'
_symmetry_Int_Tables_number 11
loop_
_symmetry_equiv_pos_as_xyz
'x,y,z'
'-x,-y,-z'
'-x,y+1/2,-z'
'x,-y+1/2,z'
loop_
_atom_site_label
_atom_site_fract_x
_atom_site_fract_y
_atom_site_fract_z
_atom_site_occupancy
Ho1 0.168 0.250 0.402 1
Ho2 0.250 0.750 0.051 1
Sb1 0.391 0.750 0.709 1
Rh1 0.129 0.250 0.790 1
# E_form (uncorrected) (eV per formula unit): -3.852
# D(E_F) (states/eV per atom): 0.24
# Uncorrected energy (eV/atom): -6.12

# Ho4SbRh2 (PBE, relaxed)
data_Ho4SbRh2
_cell_length_a 7.173
_cell_length_b 7.175
_cell_length_c 8.163
_cell_angle_alpha 108.77
_cell_angle_beta 108.77
_cell_angle_gamma 105.48
_symmetry_space_group_name_H-M 'P 1'
_symmetry_Int_Tables_number 1
loop_
_symmetry_equiv_pos_as_xyz
'x,y,z'
loop_
_atom_site_label
_atom_site_fract_x
_atom_site_fract_y
_atom_site_fract_z
_atom_site_occupancy
Ho1 0.000 0.000 0.000 1
Ho2 0.025 0.974 0.499 1
Ho3 0.113 0.456 0.380 1
Ho4 0.370 0.819 0.188 1
Ho5 0.446 0.551 0.809 1
Ho6 0.481 0.086 0.879 1
Ho7 0.577 0.421 0.309 1
Ho8 0.844 0.344 0.688 1
Sb1 0.618 0.842 0.594 1
Sb2 0.868 0.592 0.094 1
Rh1 0.117 0.727 0.733 1
Rh2 0.227 0.338 0.955 1
Rh3 0.364 0.202 0.455 1
Rh4 0.752 0.092 0.234 1
# E_form (uncorrected) (eV per formula unit): -5.265
# D(E_F) (states/eV per atom): 0.69
# Uncorrected energy (eV/atom): -6.06

# Ho3Sb4Rh8 (PBE, relaxed)
data_Ho3Sb4Rh8
_cell_length_a 12.977
_cell_length_b 12.977
_cell_length_c 12.977
_cell_angle_alpha 90.00
_cell_angle_beta 90.00
_cell_angle_gamma 90.00
_symmetry_space_group_name_H-M 'F m -3 m'
_symmetry_Int_Tables_number 225
_symmetry_space_group_name_Hall '-F 4 2 3'
loop_
_atom_site_label
_atom_site_fract_x
_atom_site_fract_y
_atom_site_fract_z
_atom_site_occupancy
Ho1 0.000 0.000 0.228 1
Sb1 0.000 0.000 0.000 1
Sb2 0.000 0.000 0.500 1
Sb3 0.000 0.250 0.250 1
Rh1 0.120 0.120 0.380 1
Rh2 0.165 0.165 0.165 1
# E_form (uncorrected) (eV per formula unit): -11.145
# D(E_F) (states/eV per atom): 0.61
# Uncorrected energy (eV/atom): -6.68

# HoSbRh (PBE, relaxed)
data_HoSbRh
_cell_length_a 4.5806
_cell_length_b 4.5806
_cell_length_c 3.5258
_cell_angle_alpha 90.00
_cell_angle_beta 90.00
_cell_angle_gamma 120.00
_symmetry_space_group_name_H-M 'P -6 m 2'
_symmetry_Int_Tables_number 187
_symmetry_space_group_name_Hall 'P -6 2'
loop_
_atom_site_label
_atom_site_fract_x
_atom_site_fract_y
_atom_site_fract_z
_atom_site_occupancy
Ho1 0.0000 0.0000 0.0000 1
Sb1 0.6667 0.3333 0.5000 1
Rh1 0.3333 0.6667 0.5000 1
# E_form (uncorrected) (eV per formula unit): -2.716
# D(E_F) (states/eV per atom): 0.33
# Uncorrected energy (eV/atom): -6.26

# HoSbRh2 (PBE, relaxed)
data_HoSbRh2
_cell_length_a 3.376
_cell_length_b 4.046
_cell_length_c 6.029
_cell_angle_alpha 90.00
_cell_angle_beta 90.00
_cell_angle_gamma 90.00
_symmetry_space_group_name_H-M 'P m m m'
_symmetry_Int_Tables_number 47
loop_
_symmetry_equiv_pos_as_xyz
'x,y,z'
'-x,-y,-z'
'-x,-y,z'
'x,y,-z'
'x,-y,-z'
'-x,y,z'
'-x,y,-z'
'x,-y,z'
loop_
_atom_site_label
_atom_site_fract_x
_atom_site_fract_y
_atom_site_fract_z
_atom_site_occupancy
Ho1 0.000 0.000 0.000 1
Sb1 0.500 0.000 0.500 1
Rh1 0.500 0.500 0.233 1
# E_form (uncorrected) (eV per formula unit): -2.119
# D(E_F) (states/eV per atom): 0.59
# Uncorrected energy (eV/atom): -6.38

# Ho3Sb2Rh6 (PBE, relaxed)
data_Ho3Sb2Rh6
_cell_length_a 9.459
_cell_length_b 9.459
_cell_length_c 9.459
_cell_angle_alpha 90.00
_cell_angle_beta 90.00
_cell_angle_gamma 90.00
_symmetry_space_group_name_H-M 'I m -3 m'
_symmetry_Int_Tables_number 229
_symmetry_space_group_name_Hall '-I 4 2 3'
loop_
_atom_site_label
_atom_site_fract_x
_atom_site_fract_y
_atom_site_fract_z
_atom_site_occupancy
Ho1 0.000 0.000 0.287 1
Sb1 0.250 0.250 0.250 1
Rh1 0.000 0.350 0.350 1
# E_form (uncorrected) (eV per formula unit): -8.144
# D(E_F) (states/eV per atom): 0.83
# Uncorrected energy (eV/atom): -6.75

# HoSbRh4 (PBE, relaxed)
data_HoSbRh4
_cell_length_a 7.492
_cell_length_b 7.492
_cell_length_c 7.492
_cell_angle_alpha 90.00
_cell_angle_beta 90.00
_cell_angle_gamma 90.00
_symmetry_space_group_name_H-M 'F -4 3 m'
_symmetry_Int_Tables_number 216
_symmetry_space_group_name_Hall 'F -4 2 3'
loop_
_atom_site_label
_atom_site_fract_x
_atom_site_fract_y
_atom_site_fract_z
_atom_site_occupancy
Ho1 0.000 0.000 0.000 1
Sb1 0.250 0.250 0.750 1
Rh1 0.124 0.124 0.376 1
# E_form (uncorrected) (eV per formula unit): -2.514
# D(E_F) (states/eV per atom): 0.60
# Uncorrected energy (eV/atom): -6.77

# Ho2Sb3Rh5 (PBE, relaxed)
data_Ho2Sb3Rh5
_cell_length_a 4.354
_cell_length_b 25.369
_cell_length_c 6.963
_cell_angle_alpha 90.00
_cell_angle_beta 90.00
_cell_angle_gamma 90.00
_symmetry_space_group_name_H-M 'C m c 21'
_symmetry_Int_Tables_number 36
loop_
_symmetry_equiv_pos_as_xyz
'x,y,z'
'-x,-y,z+1/2'
'-x,y,z'
'x,-y,z+1/2'
'x+1/2,y+1/2,z'
'-x+1/2,-y+1/2,z+1/2'
'-x+1/2,y+1/2,z'
'x+1/2,-y+1/2,z+1/2'
loop_
_atom_site_label
_atom_site_fract_x
_atom_site_fract_y
_atom_site_fract_z
_atom_site_occupancy
Ho1 0.000 0.012 0.000 1
Ho2 0.000 0.317 0.915 1
Sb1 0.000 0.109 0.243 1
Sb2 0.000 0.285 0.361 1
Sb3 0.000 0.448 0.221 1
Rh1 0.000 0.105 0.635 1
Rh2 0.000 0.204 0.086 1
Rh3 0.000 0.222 0.659 1
Rh4 0.000 0.380 0.504 1
Rh5 0.000 0.448 0.842 1
# E_form (uncorrected) (eV per formula unit): -6.897
# D(E_F) (states/eV per atom): 0.67
# Uncorrected energy (eV/atom): -6.52

# HoSbRh2 (PBE, relaxed)
data_HoSbRh2
_cell_length_a 4.017
_cell_length_b 4.017
_cell_length_c 13.350
_cell_angle_alpha 90.00
_cell_angle_beta 90.00
_cell_angle_gamma 90.00
_symmetry_space_group_name_H-M 'I 4 m m'
_symmetry_Int_Tables_number 107
_symmetry_space_group_name_Hall 'I 4 -2'
loop_
_atom_site_label
_atom_site_fract_x
_atom_site_fract_y
_atom_site_fract_z
_atom_site_occupancy
Ho1 0.000 0.000 0.000 1
Sb1 0.000 0.000 0.761 1
Rh1 0.000 0.500 0.136 1
# E_form (uncorrected) (eV per formula unit): -1.297
# D(E_F) (states/eV per atom): 0.52
# Uncorrected energy (eV/atom): -6.18

# Ho3Sb2Rh7 (PBE, relaxed)
data_Ho3Sb2Rh7
_cell_length_a 4.671
_cell_length_b 22.771
_cell_length_c 4.385
_cell_angle_alpha 90.00
_cell_angle_beta 90.00
_cell_angle_gamma 90.00
_symmetry_space_group_name_H-M 'C m m m'
_symmetry_Int_Tables_number 65
_symmetry_space_group_name_Hall '-C 2 2'
loop_
_atom_site_label
_atom_site_fract_x
_atom_site_fract_y
_atom_site_fract_z
_atom_site_occupancy
Ho1 0.000 0.000 0.000 1
Ho2 0.000 0.171 0.000 1
Sb1 0.000 0.364 0.500 1
Rh1 0.000 0.082 0.500 1
Rh2 0.000 0.250 0.500 1
Rh3 0.000 0.421 0.000 1
Rh4 0.000 0.500 0.500 1
# E_form (uncorrected) (eV per formula unit): -6.640
# D(E_F) (states/eV per atom): 0.57
# Uncorrected energy (eV/atom): -6.67

# HoSbRh2 (PBE, relaxed)
data_HoSbRh2
_cell_length_a 4.462
_cell_length_b 4.462
_cell_length_c 3.715
_cell_angle_alpha 90.00
_cell_angle_beta 90.00
_cell_angle_gamma 90.00
_symmetry_space_group_name_H-M 'P 4/m m m'
_symmetry_Int_Tables_number 123
_symmetry_space_group_name_Hall '-P 4 2'
loop_
_atom_site_label
_atom_site_fract_x
_atom_site_fract_y
_atom_site_fract_z
_atom_site_occupancy
Ho1 0.000 0.000 0.000 1
Sb1 0.500 0.500 0.000 1
Rh1 0.000 0.500 0.500 1
# E_form (uncorrected) (eV per formula unit): -2.905
# D(E_F) (states/eV per atom): 0.87
# Uncorrected energy (eV/atom): -6.58

# Ho2SbRh (PBE, relaxed)
data_Ho2SbRh
_cell_length_a 5.0705
_cell_length_b 5.0705
_cell_length_c 12.5287
_cell_angle_alpha 90.00
_cell_angle_beta 90.00
_cell_angle_gamma 120.00
_symmetry_space_group_name_H-M 'R -3 m'
_symmetry_Int_Tables_number 166
_symmetry_space_group_name_Hall '-R 3 2"'
loop_
_atom_site_label
_atom_site_fract_x
_atom_site_fract_y
_atom_site_fract_z
_atom_site_occupancy
Ho1 0.0000 0.0000 0.2493 1
Sb1 0.0000 0.0000 0.0000 1
Rh1 0.0000 0.0000 0.5000 1
# E_form (uncorrected) (eV per formula unit): -2.953
# D(E_F) (states/eV per atom): 0.28
# Uncorrected energy (eV/atom): -5.90

# Ho3SbRh (PBE, relaxed)
data_Ho3SbRh
_cell_length_a 6.328
_cell_length_b 5.258
_cell_length_c 8.136
_cell_angle_alpha 90.00
_cell_angle_beta 90.00
_cell_angle_gamma 90.00
_symmetry_space_group_name_H-M 'P m m a'
_symmetry_Int_Tables_number 51
loop_
_symmetry_equiv_pos_as_xyz
'x,y,z'
'-x,-y,-z'
'-x+1/2,-y,z'
'x+1/2,y,-z'
'x+1/2,-y,-z'
'-x+1/2,y,z'
'-x,y,-z'
'x,-y,z'
loop_
_atom_site_label
_atom_site_fract_x
_atom_site_fract_y
_atom_site_fract_z
_atom_site_occupancy
Ho1 0.000 0.000 0.000 1
Ho2 0.250 0.000 0.373 1
Ho3 0.250 0.500 0.742 1
Sb1 0.250 0.500 0.148 1
Rh1 0.250 0.000 0.704 1
# E_form (uncorrected) (eV per formula unit): -3.568
# D(E_F) (states/eV per atom): 0.79
# Uncorrected energy (eV/atom): -5.76

# Ho2SbRh3 (PBE, relaxed)
data_Ho2SbRh3
_cell_length_a 5.6714
_cell_length_b 5.6714
_cell_length_c 12.3600
_cell_angle_alpha 90.00
_cell_angle_beta 90.00
_cell_angle_gamma 120.00
_symmetry_space_group_name_H-M 'R -3 m'
_symmetry_Int_Tables_number 166
_symmetry_space_group_name_Hall '-R 3 2"'
loop_
_atom_site_label
_atom_site_fract_x
_atom_site_fract_y
_atom_site_fract_z
_atom_site_occupancy
Ho1 0.0000 0.0000 0.1281 1
Sb1 0.0000 0.0000 0.5000 1
Rh1 0.0000 0.5000 0.0000 1
# E_form (uncorrected) (eV per formula unit): -5.142
# D(E_F) (states/eV per atom): 0.61
# Uncorrected energy (eV/atom): -6.75

# Ho2Si2SbRh5 (PBE, relaxed)
data_Ho2Si2SbRh5
_cell_length_a 9.755
_cell_length_b 9.755
_cell_length_c 3.555
_cell_angle_alpha 90.00
_cell_angle_beta 90.00
_cell_angle_gamma 90.00
_symmetry_space_group_name_H-M 'P 4/m b m'
_symmetry_Int_Tables_number 127
_symmetry_space_group_name_Hall '-P 4 2ab'
loop_
_atom_site_label
_atom_site_fract_x
_atom_site_fract_y
_atom_site_fract_z
_atom_site_occupancy
Ho1 0.176 0.324 0.000 1
Si1 0.120 0.620 0.000 1
Sb1 0.000 0.000 0.000 1
Rh1 0.000 0.500 0.500 1
Rh2 0.070 0.783 0.500 1
# E_form (uncorrected) (eV per formula unit): -9.373
# D(E_F) (states/eV per atom): 0.62
# Uncorrected energy (eV/atom): -7.03